Rb2NiF8: optimized geometry, PBE+U. Values from VASP.

## Properties
The total energy is -38.6 eV for the cell shown. As for the symmetry: C2/m (12). The density of states at the Fermi level is 0.00 states/eV per atom. The total magnetization comes out at 0.07 μB per formula unit.

The structure in Quantum ESPRESSO input format:
```
&SYSTEM
  ibrav = 0, nat = 11, ntyp = 3
/
ATOMIC_SPECIES
Rb 85.47 Rb.upf
Ni 58.69 Ni.upf
F 19.00 F.upf
CELL_PARAMETERS angstrom
5.318 -2.960 0.000
5.318 2.960 0.000
-3.626 0.000 6.155
ATOMIC_POSITIONS angstrom
Rb 1.774 0.000 1.448
Rb 5.236 0.000 4.707
Ni -1.813 0.000 3.077
F 2.347 1.691 3.614
F -1.067 0.000 4.731
F 4.663 1.691 2.541
F 1.956 0.000 5.480
F 5.054 0.000 0.674
F 2.347 -1.691 3.614
F 8.077 0.000 1.424
F 4.663 -1.691 2.541
```